Entry 1:
A plane-wave DFT calculation with PBEsol was carried out for crystalline KCrAg2 at its relaxed geometry.

Summary:
The symmetry is Pmmm, No. 47. The mass density is 5.8 g/cm³. As for the energy relative to the lowest polymorph listed for this composition: 0.000 eV/atom.

Unit cell a=3.261 b=3.373 c=7.939 alpha=90.00 beta=89.99 gamma=90.00
Each line ends with the local moment (μB).
Fractional positions:
Ag1 0.000 0.000 0.818  0.06
Cr1 0.500 0.500 0.000  3.61
Ag2 0.000 0.000 0.182  0.06
K1 0.500 0.500 0.500  -0.01

Entry 2:
A plane-wave DFT calculation with PBEsol was carried out for crystalline KCrAg2 at its relaxed geometry.

Summary:
The symmetry is Pm, No. 6. The mass density is 5.4 g/cm³. As for the energy relative to the lowest polymorph listed for this composition: 0.106 eV/atom.

Unit cell a=3.028 b=4.588 c=6.782 alpha=90.00 beta=96.05 gamma=90.00
Each line ends with the local moment (μB).
Fractional positions:
Cr1 0.438 0.000 0.384  3.84
K1 0.294 0.500 0.770  0.01
Ag1 0.907 0.500 0.296  0.07
Ag2 0.860 0.000 0.050  0.04

Entry 3:
A plane-wave DFT calculation with PBEsol was carried out for crystalline La2CrAg at its relaxed geometry.

Summary:
The symmetry is C2/m, No. 12. The mass density is 7.1 g/cm³. As for the energy relative to the lowest polymorph listed for this composition: 0.192 eV/atom.

Unit cell a=3.282 b=4.091 c=8.374 alpha=96.58 beta=90.00 gamma=113.65
Each line ends with the local moment (μB).
Fractional positions:
Ag1 0.000 0.000 0.500  -0.01
La1 0.252 0.504 0.231  -0.08
La2 0.748 0.496 0.769  -0.08
Cr1 0.500 0.000 0.000  3.02

Entry 4:
A plane-wave DFT calculation with PBEsol was carried out for crystalline La2CrAg at its relaxed geometry.

Summary:
The symmetry is P4/mmm, No. 123. The mass density is 7.1 g/cm³. As for the energy relative to the lowest polymorph listed for this composition: 0.000 eV/atom.

Unit cell a=3.665 b=5.274 c=5.274 alpha=90.00 beta=90.00 gamma=90.00
Each line ends with the local moment (μB).
Fractional positions:
La1 0.000 0.500 0.000  -0.09
La2 0.000 0.000 0.500  -0.09
Cr1 0.500 0.500 0.500  3.41
Ag1 0.500 0.000 0.000  -0.02

Entry 5:
A plane-wave DFT calculation with PBEsol was carried out for crystalline Li2CrAg at its relaxed geometry.

Summary:
The symmetry is I-4m2, No. 119. The mass density is 4.5 g/cm³. The calculated total energy is -4.050 eV per atom.

Unit cell a=4.393 b=4.393 c=4.542 alpha=118.92 beta=118.92 gamma=90.00
Each line ends with the local moment (μB).
Fractional positions:
Cr1 0.250 0.750 0.500  3.79
Li1 0.000 0.000 0.000  0.01
Li2 0.750 0.250 0.500  0.00
Ag1 0.500 0.500 0.000  0.08

Entry 6:
A plane-wave DFT calculation with PBEsol was carried out for crystalline MgCrAg2 at its relaxed geometry.

Summary:
The symmetry is Pmm2, No. 25. The mass density is 7.1 g/cm³. The calculated total energy is -4.386 eV per atom.

Unit cell a=2.996 b=3.966 c=5.731 alpha=90.00 beta=90.00 gamma=90.00
Each line ends with the local moment (μB).
Fractional positions:
Cr1 0.000 0.000 0.486  3.63
Ag1 0.000 0.000 0.995  0.02
Mg1 0.500 0.500 0.758  -0.01
Ag2 0.500 0.500 0.260  0.05

Entry 7:
A plane-wave DFT calculation with PBEsol was carried out for crystalline Mg2CrAg at its relaxed geometry.

Summary:
The symmetry is P4/mmm, No. 123. The mass density is 4.9 g/cm³. The calculated total energy is -4.004 eV per atom.

Unit cell a=4.020 b=4.203 c=4.203 alpha=90.00 beta=90.00 gamma=90.00
Each line ends with the local moment (μB).
Fractional positions:
Mg1 0.000 0.000 0.500  -0.01
Mg2 0.000 0.500 0.000  -0.01
Ag1 0.500 0.500 0.500  -0.01
Cr1 0.500 0.000 0.000  3.53

Entry 8:
A plane-wave DFT calculation with PBEsol was carried out for crystalline Mg2CrAg at its relaxed geometry.

Summary:
The symmetry is Immm, No. 71. The mass density is 4.9 g/cm³. The calculated total energy is -4.012 eV per atom.

Unit cell a=4.146 b=4.939 c=4.312 alpha=115.88 beta=90.00 gamma=114.82
Each line ends with the local moment (μB).
Fractional positions:
Mg1 0.252 0.503 0.252  0.00
Mg2 0.748 0.497 0.748  0.00
Ag1 0.000 0.000 0.500  0.01
Cr1 0.500 0.000 0.000  3.66